(1)
An optimized crystal structure of BeTlIn2Sb, computed with PBE.

The space group is P4/mmm (No. 123) and the conventional cell measures 5.0227, 5.0227 and 5.2193 Å, with angles of 90.00, 90.00 and 90.00 degrees. The asymmetric unit holds Be at (0.0000, 0.0000, 0.0000), Tl at (0.5000, 0.5000, 0.5000), In at (0.0000, 0.5000, 0.0000) and Sb at (0.0000, 0.0000, 0.5000).

For the energy relative to the elements, uncorrected, the calculation gives 0.267 eV/atom. The density of states at the Fermi level comes out at 1.6 states/eV per cell. As for the total moment: 0.0 μB per cell. The calculation puts the mass density at 7.123 g/cm³. The total energy is -14.36 eV per formula unit.


(2)
An optimized crystal structure of Nb2GeH, computed with PBE.

The space group is R-3m (No. 166, hexagonal axes) and the conventional cell measures 4.2518, 4.2518 and 16.0674 Å, with angles of 90.00, 90.00 and 120.00 degrees. The asymmetric unit holds Nb at (0.0000, 0.0000, 0.1164), Ge at (0.0000, 0.0000, 0.5000) and H at (0.0000, 0.0000, 0.0000).

The calculation puts the relative energy among the computed polymorphs at 640 meV per atom. The density of states at the Fermi level comes out at 6.2 states/eV per cell. As for the total moment: 0.0 μB per cell. The calculation puts the mass density at 5.138 g/cm³. The total energy is -26.71 eV per formula unit.


Which formula does entry 1 have? BeTlIn2Sb


What is the mass density in the second record? 5.138 g/cm³


Please write out number 2 again, unchanged.
An optimized crystal structure of Nb2GeH, computed with PBE.

The space group is R-3m (No. 166, hexagonal axes) and the conventional cell measures 4.2518, 4.2518 and 16.0674 Å, with angles of 90.00, 90.00 and 120.00 degrees. The asymmetric unit holds Nb at (0.0000, 0.0000, 0.1164), Ge at (0.0000, 0.0000, 0.5000) and H at (0.0000, 0.0000, 0.0000).

The calculation puts the relative energy among the computed polymorphs at 640 meV per atom. The density of states at the Fermi level comes out at 6.2 states/eV per cell. As for the total moment: 0.0 μB per cell. The calculation puts the mass density at 5.138 g/cm³. The total energy is -26.71 eV per formula unit.


Look up the mass density of the first one. 7.123 g/cm³